No. 1
A geometry-optimized CsTlInTe3 structure. Source: Alexandria via LeMat-Bulk, functional PBE.

Lattice parameters (Å, degrees): 4.934 9.556 11.193 110.46 90.00 90.00
Element x y z (fractional)
Tl 0.250 0.668 0.082
Tl 0.750 0.332 0.918
Te 0.250 0.472 0.797
Te 0.750 0.186 0.534
Te 0.750 0.528 0.203
Te 0.250 0.814 0.466
Te 0.250 0.086 0.890
Te 0.750 0.914 0.110
In 0.750 0.869 0.346
In 0.250 0.131 0.654
Cs 0.750 0.747 0.730
Cs 0.250 0.253 0.270

Calculated values
The raw total energy is -36.28 eV per cell.

No. 2
A geometry-optimized Sm2Ho5ErSc structure. Source: Alexandria via LeMat-Bulk, functional PBE.

Lattice parameters (Å, degrees): 5.513 10.349 10.318 90.00 90.00 105.45
Element x y z (fractional)
Ho 0.725 0.451 0.821
Ho 0.016 0.033 0.017
Ho 0.275 0.549 0.321
Ho 0.625 0.250 0.520
Ho 0.517 0.035 0.241
Ho 0.984 0.967 0.517
Ho 0.700 0.401 0.203
Ho 0.300 0.599 0.703
Ho 0.483 0.965 0.741
Ho 0.375 0.750 0.020
Er 0.592 0.185 0.958
Er 0.408 0.815 0.458
Sc 0.195 0.390 0.015
Sc 0.805 0.610 0.515
Sm 0.115 0.230 0.736
Sm 0.112 0.225 0.314
Sm 0.888 0.775 0.814
Sm 0.885 0.770 0.236

Calculated values
The raw total energy is -83.61 eV per cell. The formation energy comes out at 0.1576 eV per atom.

No. 3
A geometry-optimized K2CoW structure. Source: Alexandria via LeMat-Bulk, functional PBE.

Lattice parameters (Å, degrees): 5.690 5.690 5.690 60.00 60.00 60.00
Element x y z (fractional)
W 0.500 0.500 0.500
K 0.250 0.250 0.250
K 0.750 0.750 0.750
Co 0.000 0.000 0.000

Calculated values
The raw total energy is -13.27 eV per cell. The formation energy comes out at 2.2457 eV per atom.

No. 4
A geometry-optimized Rb2ZnSeO4 structure. Source: Alexandria via LeMat-Bulk, functional PBE.

Lattice parameters (Å, degrees): 5.473 6.915 10.486 84.07 74.87 66.69
Element x y z (fractional)
O 0.544 0.317 0.582
O 0.308 0.817 0.082
O 0.206 0.183 0.918
O 0.610 0.183 0.082
O 0.140 0.317 0.418
O 0.875 0.817 0.918
O 0.442 0.683 0.418
O 0.875 0.683 0.582
Se 0.250 0.500 0.500
Se 0.500 0.000 0.000
Zn 0.750 0.500 0.500
Zn 0.000 0.000 0.000
Rb 0.178 0.000 0.643
Rb 0.572 0.500 0.857
Rb 0.822 0.000 0.357
Rb 0.928 0.500 0.143

Calculated values
The raw total energy is -69.25 eV per cell.

No. 5
A geometry-optimized Cu6PtAu8 structure. Source: Alexandria via LeMat-Bulk, functional PBE.

Lattice parameters (Å, degrees): 7.424 7.424 6.799 56.91 56.91 60.00
Element x y z (fractional)
Pt 0.000 0.000 0.000
Au 0.444 0.786 0.652
Au 0.668 0.668 0.996
Au 0.118 0.444 0.652
Au 0.882 0.556 0.348
Au 0.786 0.118 0.652
Au 0.214 0.882 0.348
Au 0.332 0.332 0.004
Au 0.556 0.214 0.348
Cu 0.384 0.052 0.844
Cu 0.948 0.280 0.156
Cu 0.052 0.720 0.844
Cu 0.720 0.384 0.844
Cu 0.280 0.616 0.156
Cu 0.616 0.948 0.156

Calculated values
The raw total energy is -56.14 eV per cell. The formation energy comes out at 0.0463 eV per atom.

No. 6
A geometry-optimized MnTlBr2 structure. Source: Alexandria via LeMat-Bulk, functional PBE.

Lattice parameters (Å, degrees): 7.077 7.077 7.077 144.02 144.02 51.80
Element x y z (fractional)
Br 0.000 0.000 0.000
Br 0.250 0.750 0.500
Tl 0.750 0.250 0.500
Mn 0.500 0.500 0.000

Calculated values
The raw total energy is -15.09 eV per cell.

No. 7
A geometry-optimized Tl5Hg structure. Source: Alexandria via LeMat-Bulk, functional PBE.

Lattice parameters (Å, degrees): 9.343 9.343 5.369 90.00 90.00 157.05
Element x y z (fractional)
Tl 0.459 0.541 0.500
Tl 0.787 0.213 0.500
Tl 0.655 0.345 0.000
Tl 0.329 0.671 0.000
Tl 0.117 0.883 0.500
Hg 0.986 0.014 0.000

Calculated values
The raw total energy is -12.06 eV per cell. The formation energy comes out at 0.0127 eV per atom.

No. 8
A geometry-optimized NbBi3 structure. Source: Alexandria via LeMat-Bulk, functional PBE.

Lattice parameters (Å, degrees): 3.790 6.207 5.939 121.50 108.60 90.00
Element x y z (fractional)
Bi 0.500 0.430 0.000
Bi 0.305 0.634 0.610
Bi 0.695 0.023 0.390
Nb 0.000 0.080 0.000

Calculated values
The raw total energy is -20.88 eV per cell. The formation energy comes out at 0.2076 eV per atom.

No. 9
A geometry-optimized TaPt2Se6 structure. Source: Alexandria via LeMat-Bulk, functional PBE.

Lattice parameters (Å, degrees): 3.707 7.869 8.378 107.19 102.78 90.00
Element x y z (fractional)
Se 0.326 0.445 0.651
Se 0.333 0.892 0.666
Se 0.001 0.763 0.003
Se 0.999 0.237 0.997
Se 0.667 0.108 0.334
Se 0.674 0.555 0.349
Pt 0.165 0.332 0.330
Pt 0.835 0.668 0.670
Ta 0.500 0.000 0.000

Calculated values
The raw total energy is -48.91 eV per cell.

No. 10
A geometry-optimized U3Nb2MoC6 structure. Source: Alexandria via LeMat-Bulk, functional PBE.

Lattice parameters (Å, degrees): 5.655 5.655 5.856 99.27 99.27 120.03
Element x y z (fractional)
Mo 0.000 0.000 0.000
C 0.076 0.407 0.228
C 0.924 0.593 0.772
C 0.254 0.254 0.771
C 0.407 0.076 0.228
C 0.593 0.924 0.772
C 0.746 0.746 0.229
Nb 0.667 0.333 0.000
Nb 0.333 0.667 0.000
U 0.168 0.832 0.500
U 0.500 0.500 0.500
U 0.832 0.168 0.500

Calculated values
The raw total energy is -124.29 eV per cell. The formation energy comes out at -0.3424 eV per atom.

No. 11
A geometry-optimized Ac2PrCuS5 structure. Source: Alexandria via LeMat-Bulk, functional PBE.

Lattice parameters (Å, degrees): 4.110 8.786 12.509 90.00 90.00 103.53
Element x y z (fractional)
Ac 0.880 0.759 0.846
Ac 0.115 0.229 0.694
Ac 0.120 0.241 0.346
Ac 0.885 0.771 0.194
Pr 0.177 0.355 0.027
Pr 0.823 0.645 0.527
Cu 0.550 0.099 0.923
Cu 0.450 0.901 0.423
S 0.684 0.369 0.865
S 0.015 0.030 0.007
S 0.316 0.631 0.365
S 0.300 0.599 0.687
S 0.507 0.014 0.255
S 0.345 0.690 0.020
S 0.655 0.310 0.520
S 0.493 0.986 0.755
S 0.700 0.401 0.187
S 0.985 0.970 0.507

Calculated values
The raw total energy is -108.29 eV per cell.

No. 12
A geometry-optimized Nd4YHg structure. Source: Alexandria via LeMat-Bulk, functional PBE.

Lattice parameters (Å, degrees): 3.704 3.704 14.201 90.00 90.00 90.00
Element x y z (fractional)
Nd 0.500 0.500 0.823
Nd 0.000 0.000 0.356
Nd 0.000 0.000 0.644
Nd 0.500 0.500 0.177
Hg 0.500 0.500 0.500
Y 0.000 0.000 0.000

Calculated values
The raw total energy is -26.72 eV per cell. The formation energy comes out at -0.1468 eV per atom.

- The highest raw total energy belongs to which entry?
  Tl5Hg